i:
This record from Alexandria describes a geometry-optimized BePbAu2 structure. The functional is PBE.

Results
The magnetization comes out at 0.00 μB per cell.

Structure (POSCAR):
```
BePbAu2
1.0
-4.737 0.236 -1.726
-1.293 -3.829 3.024
-4.717 2.984 5.974
Pb Be Au
2 2 4
Direct
0.000 0.000 0.000
0.750 0.250 0.500
0.500 0.500 0.000
0.250 0.750 0.500
0.500 0.125 0.250
0.250 0.625 0.250
0.375 0.500 0.750
0.875 0.750 0.750
```

ii:
This record from Alexandria describes a geometry-optimized BePbAu2 structure. The functional is PBE.

Results
The magnetization comes out at 0.00 μB per cell.

Structure (POSCAR):
```
BePbAu2
1.0
5.193 0.000 0.000
1.735 4.894 0.000
-3.464 -2.447 2.996
Pb Be Au
1 1 2
Direct
0.750 0.250 0.500
0.500 0.500 0.000
0.000 0.000 0.000
0.250 0.750 0.500
```

Most stable = i